This record from Alexandria describes a geometry-optimized CsPmI2 structure. The functional is PBE-GGA.

Geometry as POSCAR:
```
CsPmI2
1.0
4.2653 0.0000 0.0000
2.1326 3.6938 0.0000
2.1326 1.2313 10.1047
I Pm Cs
2 1 1
Direct
0.2629 0.2629 0.2112 I
0.7371 0.7371 0.7888 I
0.0000 0.0000 0.0000 Pm
0.5000 0.5000 0.5000 Cs
```

Results
* ΔE_f (raw): -1.003 eV/atom
* E: -0.1168 Ha/atom
* crystal system: trigonal
* volume: 39.8 Å³ per atom
* DOS at the Fermi energy: 0.58 states/eV per atom
* E above lowest polymorph: 0.000 eV per atom

---

This record from Alexandria describes a geometry-optimized MnHIrRh2 structure. The functional is PBE-GGA.

Geometry as POSCAR:
```
MnHIrRh2
1.0
3.8808 0.0000 0.0000
0.0000 3.8808 0.0000
0.0000 0.0000 3.9044
Rh H Mn Ir
2 1 1 1
Direct
0.0000 0.5000 0.0000 Rh
0.5000 0.0000 0.0000 Rh
0.0000 0.0000 0.0000 H
0.5000 0.5000 0.5000 Mn
0.0000 0.0000 0.5000 Ir
```

Results
* E: -0.2679 Ha/atom
* crystal system: tetragonal
* volume: 11.8 Å³ per atom
* DOS at the Fermi energy: 0.98 states/eV per atom
* E above lowest polymorph: 0.004 eV per atom

---

This record from Alexandria describes a geometry-optimized U2PaV structure. The functional is PBE-GGA.

Geometry as POSCAR:
```
U2PaV
1.0
-4.6475 0.1985 1.2442
-3.2686 -2.5094 -2.4912
-2.1240 -3.8348 1.9959
U Pa V
2 1 1
Direct
0.2500 0.2500 0.2500 U
0.7500 0.7500 0.7500 U
0.5000 0.5000 0.5000 Pa
0.0000 0.0000 0.0000 V
```

Results
* E: -0.3646 Ha/atom
* crystal system: cubic
* volume: 19.7 Å³ per atom
* DOS at the Fermi energy: 2.52 states/eV per atom
* E_form: 0.376 eV/atom
* E above lowest polymorph: 0.085 eV per atom

---

This record from Alexandria describes a geometry-optimized InAsP2 structure. The functional is PBE-GGA.

Geometry as POSCAR:
```
InAsP2
1.0
5.0844 -0.0212 0.1430
4.0390 3.0883 0.1430
2.1198 0.7126 5.5982
As P In
1 2 1
Direct
0.5615 0.5615 0.3803 As
0.9511 0.9511 0.1671 P
0.2770 0.2770 0.1711 P
0.7104 0.7104 0.7815 In
```

Results
* E: -0.1577 Ha/atom
* crystal system: monoclinic
* volume: 21.8 Å³ per atom
* DOS at the Fermi energy: 0.31 states/eV per atom
* E_form: 0.260 eV/atom
* E above lowest polymorph: 0.196 eV per atom

---

This record from Alexandria describes a geometry-optimized Ti4Re3Ir structure. The functional is PBE-GGA.

Geometry as POSCAR:
```
Ti4Re3Ir
1.0
3.0974 0.0000 0.0000
0.0000 4.4167 0.0000
0.0000 0.0000 8.8145
Re Ti Ir
3 4 1
Direct
0.5000 0.0000 0.2480 Re
0.5000 0.0000 0.7520 Re
0.5000 0.5000 0.5000 Re
0.0000 0.0000 0.0000 Ti
0.0000 0.5000 0.2527 Ti
0.0000 0.5000 0.7473 Ti
0.0000 0.0000 0.5000 Ti
0.5000 0.5000 0.0000 Ir
```

Results
* E: -0.3784 Ha/atom
* crystal system: orthorhombic
* volume: 15.1 Å³ per atom
* DOS at the Fermi energy: 0.73 states/eV per atom
* E_form: -0.575 eV/atom

---

This record from Alexandria describes a geometry-optimized LaLuZnCu structure. The functional is PBE-GGA.

Geometry as POSCAR:
```
LaLuZnCu
1.0
-3.8048 -3.0155 -1.4760
0.8920 -4.8859 -1.0396
-1.7284 -3.6133 3.1153
Lu Cu Zn La
1 1 1 1
Direct
0.0000 0.0000 0.0000 Lu
0.2500 0.2500 0.2500 Cu
0.7500 0.7500 0.7500 Zn
0.5000 0.5000 0.5000 La
```

Results
* E: -0.1450 Ha/atom
* crystal system: cubic
* volume: 23.1 Å³ per atom
* DOS at the Fermi energy: 0.47 states/eV per atom
* E_form: -0.241 eV/atom

---

This record from Alexandria describes a geometry-optimized Rb3In8Pb structure. The functional is PBE-GGA.

Geometry as POSCAR:
```
Rb3In8Pb
1.0
6.5618 0.0000 0.0000
3.2809 5.6827 0.0000
3.2809 1.8942 10.5449
In Rb Pb
8 3 1
Direct
0.6909 0.6909 0.9272 In
0.4362 0.9354 0.1922 In
0.9407 0.9407 0.6787 In
0.4399 0.9407 0.6787 In
0.4362 0.4362 0.1922 In
0.1877 0.1877 0.4369 In
0.9407 0.4399 0.6787 In
0.9354 0.4362 0.1922 In
0.5004 0.5004 0.4987 Rb
0.3759 0.3759 0.8722 Rb
0.9981 0.9981 0.0057 Rb
0.8679 0.8679 0.3963 Pb
```

Results
* E: -0.0889 Ha/atom
* crystal system: trigonal
* volume: 32.8 Å³ per atom
* DOS at the Fermi energy: 0.55 states/eV per atom
* E_form: -0.043 eV/atom

---

This record from Alexandria describes a geometry-optimized BaGe5 structure. The functional is PBE-GGA.

Geometry as POSCAR:
```
BaGe5
1.0
8.5994 0.0562 0.0116
2.9381 8.0821 -0.0116
-4.3058 -6.1431 4.2041
Ge Ba
10 2
Direct
0.3993 0.3788 0.0205 Ge
0.7080 0.8057 0.9022 Ge
0.5965 0.1943 0.4022 Ge
0.6007 0.6212 0.9795 Ge
0.9606 0.7106 0.2500 Ge
0.2920 0.1943 0.0978 Ge
0.8584 0.3788 0.4795 Ge
0.4035 0.8057 0.5978 Ge
0.1416 0.6212 0.5205 Ge
0.0394 0.2894 0.7500 Ge
0.2180 0.9680 0.2500 Ba
0.7820 0.0320 0.7500 Ba
```

Results
* E: -0.1603 Ha/atom
* crystal system: orthorhombic
* volume: 24.3 Å³ per atom
* DOS at the Fermi energy: 0.34 states/eV per atom
* E_form: -0.193 eV/atom

---

This record from Alexandria describes a geometry-optimized KMo2 structure. The functional is PBE-GGA.

Geometry as POSCAR:
```
KMo2
1.0
1.5446 5.4950 -0.0062
-1.5446 5.4950 -0.0062
0.0000 1.9986 9.2253
Mo K
4 2
Direct
0.5562 0.5562 0.3426 Mo
0.1380 0.1380 0.5030 Mo
0.4438 0.4438 0.6574 Mo
0.8620 0.8620 0.4970 Mo
0.8480 0.8480 0.1361 K
0.1520 0.1520 0.8639 K
```

Results
* E: -0.2467 Ha/atom
* crystal system: monoclinic
* volume: 26.1 Å³ per atom
* DOS at the Fermi energy: 0.87 states/eV per atom
* E_form: 0.875 eV/atom
* E above lowest polymorph: 0.236 eV per atom

---

This record from Alexandria describes a geometry-optimized Nd2Mn2SnRh5 structure. The functional is PBE-GGA.

Geometry as POSCAR:
```
Nd2Mn2SnRh5
1.0
-1.1722 3.0182 -1.9589
-9.2696 -2.6767 1.4228
-0.2507 5.2390 8.2222
Mn Sn Rh Nd
4 2 10 4
Direct
0.0000 0.3825 0.1175 Mn
0.0000 0.8825 0.3825 Mn
0.0000 0.6175 0.8825 Mn
0.0000 0.1175 0.6175 Mn
0.0000 0.0000 0.0000 Sn
0.0000 0.5000 0.5000 Sn
0.5000 0.0645 0.7884 Rh
0.5000 0.5645 0.7116 Rh
0.5000 0.7884 0.9355 Rh
0.5000 0.0000 0.5000 Rh
0.5000 0.9355 0.2116 Rh
0.5000 0.5000 0.0000 Rh
0.5000 0.2116 0.0645 Rh
0.5000 0.7116 0.4355 Rh
0.5000 0.2884 0.5645 Rh
0.5000 0.4355 0.2884 Rh
0.0000 0.1804 0.3196 Nd
0.0000 0.6804 0.1804 Nd
0.0000 0.8196 0.6804 Nd
0.0000 0.3196 0.8196 Nd
```

Results
* E: -0.2678 Ha/atom
* crystal system: tetragonal
* volume: 18.0 Å³ per atom
* DOS at the Fermi energy: 0.75 states/eV per atom
* E_form: -0.423 eV/atom

---

This record from Alexandria describes a geometry-optimized LiCu2SiSe4 structure. The functional is PBE-GGA.

Geometry as POSCAR:
```
LiCu2SiSe4
1.0
-3.5435 1.2241 -4.3430
0.3197 -5.4408 -1.7925
-2.5641 0.8570 6.1230
Si Se Li Cu
1 4 1 2
Direct
0.4999 0.4999 0.9999 Si
0.6056 0.6056 0.7469 Se
0.1413 0.1413 0.7469 Se
0.3945 0.8586 0.2531 Se
0.8586 0.3945 0.2531 Se
0.0003 0.0003 0.0006 Li
0.2500 0.7500 0.5000 Cu
0.7500 0.2500 0.5000 Cu
```

Results
* ΔE_f (raw): -0.481 eV/atom
* E: -0.1530 Ha/atom
* crystal system: tetragonal
* volume: 21.9 Å³ per atom
* DOS at the Fermi energy: 0.99 states/eV per atom

---

This record from Alexandria describes a geometry-optimized Ba2TlCo structure. The functional is PBE-GGA.

Geometry as POSCAR:
```
Ba2TlCo
1.0
-6.3860 2.1871 -9.2078
8.0207 -4.6454 -6.6661
-0.3060 -3.5093 -7.6995
Ba Co Tl
4 2 2
Direct
0.8750 0.6959 0.7500 Ba
0.3041 0.6250 0.2500 Ba
0.4459 0.1250 0.2500 Ba
0.3750 0.5541 0.7500 Ba
0.2500 0.7500 0.5000 Co
0.5000 0.5000 0.0000 Co
0.7500 0.2500 0.5000 Tl
0.0000 0.0000 0.0000 Tl
```

Results
* E: -0.1176 Ha/atom
* crystal system: tetragonal
* volume: 41.6 Å³ per atom
* DOS at the Fermi energy: 1.35 states/eV per atom
* E_form: 0.130 eV/atom